Density functional theory data (SCAN) for a crystal of CaSbPW2 relaxed with PBEsol.

CIF file:
```
data_CaSbPW2
_cell_length_a 4.8837
_cell_length_b 4.8837
_cell_length_c 5.5149
_cell_angle_alpha 90.00
_cell_angle_beta 90.00
_cell_angle_gamma 90.00
_symmetry_space_group_name_H-M 'P 1'
_symmetry_Int_Tables_number 1
loop_
_symmetry_equiv_pos_as_xyz
'x,y,z'
loop_
_atom_site_label
_atom_site_type_symbol
_atom_site_fract_x
_atom_site_fract_y
_atom_site_fract_z
Sb1 Sb 0.0000 0.0000 0.0000
Ca1 Ca 0.0000 0.0000 0.5000
W1 W 0.0000 0.5000 0.0000
W2 W 0.5000 0.0000 0.0000
P1 P 0.5000 0.5000 0.5000
```

Output
Magnetic moment   0.0 μB per formula unit
Formation energy (no corrections)   2.121 eV per atom
Calculated total energy   -37.22 eV/atom